# 1
# AlFeTc2 | the Alexandria database | GGA-PBE | relaxed
# Raw total energy in eV/atom: -8.34
data_AlFeTc2
_chemical_formula_sum 'Al1 Fe1 Tc2'
_space_group_name_H-M_alt 'P 4/m m m'
_space_group_IT_number 123
_space_group_name_Hall '-P 4 2'
_cell_length_a 4.312
_cell_length_b 4.312
_cell_length_c 2.936
_cell_angle_alpha 90.00
_cell_angle_beta 90.00
_cell_angle_gamma 90.00
loop_
_atom_site_label
_atom_site_type_symbol
_atom_site_fract_x
_atom_site_fract_y
_atom_site_fract_z
_atom_site_occupancy
Al1 Al 0.000 0.000 0.000 1
Fe1 Fe 0.500 0.500 0.000 1
Tc1 Tc 0.000 0.500 0.500 1


# 2
# AlFeTc | the Alexandria database | GGA-PBE | relaxed
# Raw total energy in eV/atom: -7.31
data_AlFeTc
_chemical_formula_sum 'Al4 Fe4 Tc4'
_space_group_name_H-M_alt 'I m m m'
_space_group_IT_number 71
_space_group_name_Hall '-I 2 2'
_cell_length_a 2.645
_cell_length_b 4.727
_cell_length_c 13.950
_cell_angle_alpha 90.00
_cell_angle_beta 90.00
_cell_angle_gamma 90.00
loop_
_atom_site_label
_atom_site_type_symbol
_atom_site_fract_x
_atom_site_fract_y
_atom_site_fract_z
_atom_site_occupancy
Al1 Al 0.000 0.000 0.151 1
Fe1 Fe 0.000 0.000 0.327 1
Tc1 Tc 0.000 0.245 0.500 1


# 3
# AlFe2Tc | the Alexandria database | GGA-PBE | relaxed
# Raw total energy in eV/atom: -7.85
data_AlFe2Tc
_chemical_formula_sum 'Al1 Fe2 Tc1'
_space_group_name_H-M_alt 'P 1 m 1'
_space_group_IT_number 6
_cell_length_a 2.584
_cell_length_b 4.111
_cell_length_c 4.938
_cell_angle_alpha 90.00
_cell_angle_beta 100.90
_cell_angle_gamma 90.00
loop_
_space_group_symop_operation_xyz
'x,y,z'
'x,-y,z'
loop_
_atom_site_label
_atom_site_type_symbol
_atom_site_fract_x
_atom_site_fract_y
_atom_site_fract_z
_atom_site_occupancy
Al1 Al 0.000 0.000 0.000 1
Fe1 Fe 0.561 0.000 0.480 1
Fe2 Fe 0.724 0.500 0.233 1
Tc1 Tc 0.307 0.500 0.726 1


> raw total energy of number 2 (AlFeTc)?

-7.31 eV/atom